The following is a PBE-GGA calculation of a relaxed Nd2Sm3In7 crystal, from Alexandria.

a b c (Å): 12.988 12.988 5.463
angles (deg): 90.00 90.00 156.72
Fractional coordinates of all 12 atoms:
Nd 0.145 0.855 0.000
Nd 0.855 0.145 0.000
Sm 0.347 0.653 0.500
Sm 0.500 0.500 0.500
Sm 0.653 0.347 0.500
In 0.000 0.000 0.000
In 0.076 0.924 0.500
In 0.276 0.724 0.000
In 0.429 0.571 0.000
In 0.571 0.429 0.000
In 0.724 0.276 0.000
In 0.924 0.076 0.500

Summary:
The total energy is -3.81 eV/atom. For the total magnetization, the calculation gives 0.00 μB/f.u. For the energy of formation from the pure elements, the calculation gives -0.239 eV per atom.